Entry from Alexandria: TiCdRh after structural relaxation (PBE).

Unit cell a=4.1775 b=4.1775 c=6.4731 alpha=94.92 beta=94.92 gamma=89.35
Last column: nearest neighbours and their distance in Å.
Atoms (fractional coordinates):
Ti1 0.2463 0.7537 0.0000  4 Rh 2.51-2.55
Ti2 0.7537 0.2463 0.0000  4 Rh 2.51-2.55
Cd1 0.2160 0.2160 0.6462  5 Rh 2.81-3.14, 1 Cd 3.00, 4 Ti 3.06-3.11
Cd2 0.7840 0.7840 0.3538  5 Rh 2.81-3.14, 1 Cd 3.00, 4 Ti 3.06-3.11
Rh1 0.2763 0.2763 0.2224  4 Ti 2.51-2.55
Rh2 0.7237 0.7237 0.7776  4 Ti 2.51-2.55

Values from the calculation:
The calculated volume comes out at 18.69 A^3/atom. Its calculated density is 7.79 g/cm3. The value obtained for the energy relative to the elements is -343 meV per atom.

Entry from Alexandria: AlAs2S after structural relaxation (PBE).

Unit cell a=4.6634 b=4.6634 c=4.6634 alpha=60.00 beta=60.00 gamma=60.00
Last column: nearest neighbours and their distance in Å.
Atoms (fractional coordinates):
Al1 0.0000 0.0000 0.0000  8 As 2.86
As1 0.2500 0.2500 0.2500  4 S 2.86, 4 Al 2.86
As2 0.7500 0.7500 0.7500  4 S 2.86, 4 Al 2.86
S1 0.5000 0.5000 0.5000  8 As 2.86

Values from the calculation:
The calculated volume comes out at 17.93 A^3/atom. Its raw formation energy is 0.422 eV per atom. For the excess energy over the best structure of this formula in the dataset, the calculation gives 241 meV/atom. Its calculated density is 4.84 g/cm3.

Entry from Alexandria: Zn2SiC after structural relaxation (PBE).

Unit cell a=5.7917 b=5.7917 c=5.7917 alpha=122.69 beta=122.69 gamma=85.40
Last column: nearest neighbours and their distance in Å.
Atoms (fractional coordinates):
Zn1 0.0346 0.6250 0.9096  2 C 1.96
Zn2 0.3750 0.2846 0.4096  2 C 1.96
Zn3 0.7154 0.1250 0.0904  2 C 1.96
Zn4 0.8750 0.9654 0.5904  2 C 1.96
Si1 0.2500 0.7500 0.5000  4 Zn 2.58
Si2 0.5000 0.5000 0.0000  4 Zn 2.58
C1 0.0000 0.0000 0.0000  4 Zn 1.96
C2 0.7500 0.2500 0.5000  4 Zn 1.96

Values from the calculation:
The calculated volume comes out at 16.42 A^3/atom. Its raw formation energy is 0.997 eV per atom. For the excess energy over the best structure of this formula in the dataset, the calculation gives 0 meV/atom. Its calculated density is 4.32 g/cm3.